## Pm2PaRu3 (GGA-PBE)

Data for a geometry-optimized Pm2PaRu3 structure.

The structure in POSCAR format:
```
Pm2PaRu3
1.0
5.332 0.000 0.000
0.000 6.491 0.032
-2.666 -1.590 7.328
Pm Pa Ru
4 2 6
direct
0.684 0.594 0.376
0.692 0.094 0.376
0.308 0.906 0.624
0.316 0.406 0.624
0.766 0.750 0.000
0.234 0.250 0.000
0.684 0.250 0.000
0.316 0.750 0.000
0.139 0.066 0.266
0.872 0.434 0.734
0.128 0.566 0.266
0.861 0.934 0.734
```

Summary:
Formation energy in eV/atom: -0.244
DFT total energy in hartree per atom: -0.2958
Theoretical density in g/cm³: 10.78